Record 1
# Sr2Zn2Ni

Sr2Zn2Ni after structural relaxation (PBE, the Alexandria database).

The structure belongs to space group P4/mbm (No. 127); the cell edges are 8.207, 8.207 and 4.379 Å and the angles 90.00°, 90.00° and 90.00°. Symmetry generates all atoms from Sr at (0.182, 0.318, 0.000), Zn at (0.115, 0.615, 0.500) and Ni at (0.000, 0.000, 0.000).

The crystal system is tetragonal. The formation energy is 29 kJ/mol of atoms. As for the distance to the lowest polymorph of the same formula: 2.39 eV/f.u.

***

Record 2
# Sr2Zn2Ni

Sr2Zn2Ni after structural relaxation (PBE, the Alexandria database).

The structure belongs to space group P-1 (No. 2); the cell edges are 4.230, 6.200 and 10.915 Å and the angles 90.76°, 101.12° and 109.78°. Symmetry generates all atoms from Sr at (0.067, 0.268, 0.365), Sr at (0.206, 0.801, 0.112), Zn at (0.368, 0.830, 0.407), Zn at (0.489, 0.610, 0.868) and Ni at (0.255, 0.327, 0.684).

The crystal system is triclinic. The formation energy is -17 kJ/mol of atoms. As for the distance to the lowest polymorph of the same formula: 0.00 eV/f.u.

***

Record 3
# SrZn4Ni

SrZn4Ni after structural relaxation (PBE, the Alexandria database).

The structure belongs to space group P4/mmm (No. 123); the cell edges are 4.588, 4.588 and 6.918 Å and the angles 90.00°, 90.00° and 90.00°. Symmetry generates all atoms from Sr at (0.000, 0.000, 0.000), Zn at (0.000, 0.500, 0.500), Zn at (0.500, 0.500, 0.175) and Ni at (0.500, 0.500, 0.500).

The crystal system is tetragonal. The formation energy is 1 kJ/mol of atoms. As for the distance to the lowest polymorph of the same formula: 0.34 eV/f.u.

***

Record 4
# SrZn8Ni4

SrZn8Ni4 after structural relaxation (PBE, the Alexandria database).

The structure belongs to space group I4/mmm (No. 139); the cell edges are 8.712, 8.712 and 5.098 Å and the angles 90.00°, 90.00° and 90.00°. Symmetry generates all atoms from Sr at (0.000, 0.000, 0.000), Zn at (0.000, 0.230, 0.500), Zn at (0.000, 0.343, 0.000) and Ni at (0.250, 0.250, 0.250).

The crystal system is tetragonal. The formation energy is -21 kJ/mol of atoms.

***

Record 5
# Sr2Zn3Ni

Sr2Zn3Ni after structural relaxation (PBE, the Alexandria database).

The structure belongs to space group Pmm2 (No. 25); the cell edges are 4.296, 4.442 and 7.630 Å and the angles 90.00°, 90.00° and 90.00°. Symmetry generates all atoms from Sr at (0.000, 0.000, 0.000), Sr at (0.000, 0.500, 0.474), Zn at (0.500, 0.000, 0.636), Zn at (0.500, 0.500, 0.164), Zn at (0.500, 0.500, 0.818) and Ni at (0.500, 0.000, 0.314).

The crystal system is orthorhombic. The formation energy is -19 kJ/mol of atoms. As for the distance to the lowest polymorph of the same formula: 0.00 eV/f.u.

***

Record 6
# SrZn3Ni3

SrZn3Ni3 after structural relaxation (PBE, the Alexandria database).

The structure belongs to space group Pm-3n (No. 223); the cell edges are 6.548, 6.548 and 6.548 Å and the angles 90.00°, 90.00° and 90.00°. Symmetry generates all atoms from Sr at (0.000, 0.000, 0.000), Zn at (0.000, 0.250, 0.500) and Ni at (0.000, 0.500, 0.250).

The crystal system is cubic. The formation energy is 16 kJ/mol of atoms.

***

Record 7
# SrZnNi

SrZnNi after structural relaxation (PBE, the Alexandria database).

The structure belongs to space group F-43m (No. 216); the cell edges are 6.589, 6.589 and 6.589 Å and the angles 90.00°, 90.00° and 90.00°. Symmetry generates all atoms from Sr at (0.000, 0.000, 0.000), Zn at (0.000, 0.000, 0.500) and Ni at (0.250, 0.250, 0.250).

The crystal system is cubic. The formation energy is 8 kJ/mol of atoms.

***

Record 8
# SrZn4Ni

SrZn4Ni after structural relaxation (PBE, the Alexandria database).

The structure belongs to space group F-43m (No. 216); the cell edges are 7.476, 7.476 and 7.476 Å and the angles 90.00°, 90.00° and 90.00°. Symmetry generates all atoms from Sr at (0.000, 0.000, 0.000), Zn at (0.123, 0.123, 0.623) and Ni at (0.250, 0.250, 0.250).

The crystal system is cubic. The formation energy is -5 kJ/mol of atoms. As for the distance to the lowest polymorph of the same formula: 0.00 eV/f.u.